w.
Compound: NaS3
Source: Alexandria via LeMat-Bulk
Functional: PBE
Structure: optimized geometry

space-group type: P6_3/mmc (194)
total magnetic moment: 0.0 Bohr magnetons per cell
crystal system: hexagonal

a = 6.8343 Å, b = 6.8343 Å, c = 5.1266 Å
α = 90.00°, β = 90.00°, γ = 120.00°
Closest atoms and distances in Å follow each position.
Element x y z (fractional)
Na (0.3333, 0.6667, 0.2500)  6 S 2.88
Na (0.6667, 0.3333, 0.7500)  6 S 2.88
S (0.2233, 0.4467, 0.7500)  2 S 2.26
S (0.2233, 0.7767, 0.7500)  2 S 2.26
S (0.4467, 0.2233, 0.2500)  2 S 2.26
S (0.5533, 0.7767, 0.7500)  2 S 2.26
S (0.7767, 0.2233, 0.2500)  2 S 2.26
S (0.7767, 0.5533, 0.2500)  2 S 2.26


x.
Compound: NaS3
Source: Alexandria via LeMat-Bulk
Functional: PBE
Structure: optimized geometry

space-group type: Pmm2 (25)
total magnetic moment: 0.0 Bohr magnetons per cell
crystal system: orthorhombic

a = 4.2401 Å, b = 4.4272 Å, c = 5.0163 Å
α = 90.00°, β = 90.00°, γ = 90.00°
Closest atoms and distances in Å follow each position.
Element x y z (fractional)
Na (0.0000, 0.0000, 0.0000)  4 S 2.77-2.78
S (0.0000, 0.5000, 0.3329)  2 S 2.28
S (0.5000, 0.0000, 0.6422)  2 S 2.32
S (0.5000, 0.5000, 0.5025)  4 S 2.28-2.32


Result of the stability comparison: x is the most stable of them.


w.
Compound: NaSb3S
Source: Alexandria via LeMat-Bulk
Functional: PBE
Structure: optimized geometry

space-group type: Pm-3m (221)
total magnetic moment: 0.7 Bohr magnetons per cell
crystal system: cubic

a = 5.3349 Å, b = 5.3349 Å, c = 5.3349 Å
α = 90.00°, β = 90.00°, γ = 90.00°
Closest atoms and distances in Å follow each position.
Element x y z (fractional)
Na (0.0000, 0.0000, 0.0000)  6 Sb 2.67
Sb (0.0000, 0.0000, 0.5000)  2 Na 2.67
Sb (0.0000, 0.5000, 0.0000)  2 Na 2.67
Sb (0.5000, 0.0000, 0.0000)  2 Na 2.67
S (0.5000, 0.5000, 0.5000)  12 Sb 3.77


x.
Compound: NaSb3S
Source: Alexandria via LeMat-Bulk
Functional: PBE
Structure: optimized geometry

space-group type: Pm-3m (221)
total magnetic moment: 0.0 Bohr magnetons per cell
crystal system: cubic

a = 5.3193 Å, b = 5.3193 Å, c = 5.3193 Å
α = 90.00°, β = 90.00°, γ = 90.00°
Closest atoms and distances in Å follow each position.
Element x y z (fractional)
Na (0.0000, 0.0000, 0.0000)  12 Sb 3.76
Sb (0.0000, 0.5000, 0.5000)  2 S 2.66
Sb (0.5000, 0.0000, 0.5000)  2 S 2.66
Sb (0.5000, 0.5000, 0.0000)  2 S 2.66
S (0.5000, 0.5000, 0.5000)  6 Sb 2.66


Result of the stability comparison: x is the most stable of them.